# PBE MgTe2Ru, optimized geometry
# - spin magnetization (μB/f.u.) = 0.6
# - N(E_F) (states/eV per atom) = 0.836
# - formation energy (no corrections) (meV/atom) = -176
data_MgTe2Ru
_cell_length_a 3.365
_cell_length_b 4.517
_cell_length_c 13.050
_cell_angle_alpha 90.00
_cell_angle_beta 90.00
_cell_angle_gamma 90.00
_space_group_name_H-M_alt 'I m m m'
_space_group_IT_number 71
_space_group_name_Hall '-I 2 2'
loop_
_atom_site_label
_atom_site_fract_x
_atom_site_fract_y
_atom_site_fract_z
Mg1 0.000 0.000 0.000
Te1 0.000 0.500 0.159
Ru1 0.000 0.000 0.500